Record 1
Computed, not measured: a geometry-optimized MgPd2Ru2 structure at the GGA-PBE level of DFT.

Cell and atoms, written as POSCAR:
```
MgPd2Ru2
1.0
7.603 0.000 0.000
0.000 7.603 0.000
0.000 0.000 2.823
Mg Pd Ru
2 4 4
Direct
0.000 0.000 0.000
0.500 0.500 0.000
0.185 0.315 0.500
0.315 0.815 0.500
0.685 0.185 0.500
0.815 0.685 0.500
0.112 0.612 0.000
0.388 0.112 0.000
0.612 0.888 0.000
0.888 0.388 0.000
```

Summary:
Uncorrected energy: -5.88 eV/atom
Space group: P4/mbm
Formation energy from the elements: 0.227 eV per atom
Distance to the lowest polymorph of the same formula: 0.257 eV/f.u.


Record 2
Computed, not measured: a geometry-optimized MgPd2Ru structure at the GGA-PBE level of DFT.

Cell and atoms, written as POSCAR:
```
MgPd2Ru
1.0
-1.919 1.919 9.077
1.919 -1.919 9.077
1.919 1.919 -9.077
Mg Pd Ru
2 4 2
Direct
0.000 0.000 0.000
0.750 0.250 0.500
0.130 0.625 0.005
0.375 0.380 0.505
0.620 0.125 0.995
0.875 0.870 0.495
0.250 0.750 0.500
0.500 0.500 0.000
```

Summary:
Uncorrected energy: -5.03 eV/atom
Space group: I-42d
Formation energy from the elements: 0.281 eV per atom


Record 3
Computed, not measured: a geometry-optimized MgPdRu2 structure at the GGA-PBE level of DFT.

Cell and atoms, written as POSCAR:
```
MgPdRu2
1.0
-3.672 3.672 2.493
3.672 -3.672 2.493
3.672 3.672 -2.493
Mg Pd Ru
2 2 4
Direct
0.000 0.000 0.000
0.750 0.250 0.500
0.250 0.750 0.500
0.500 0.500 0.000
0.143 0.625 0.018
0.375 0.393 0.518
0.607 0.125 0.982
0.875 0.857 0.482
```

Summary:
Uncorrected energy: -5.71 eV/atom
Space group: I-42d
Formation energy from the elements: 0.624 eV per atom


Record 4
Computed, not measured: a geometry-optimized Mg2PdRu2 structure at the GGA-PBE level of DFT.

Cell and atoms, written as POSCAR:
```
Mg2PdRu2
1.0
6.894 0.000 0.000
0.000 6.894 0.000
0.000 0.000 3.316
Mg Pd Ru
4 2 4
Direct
0.141 0.359 0.000
0.359 0.859 0.000
0.641 0.141 0.000
0.859 0.641 0.000
0.000 0.000 0.000
0.500 0.500 0.000
0.160 0.660 0.500
0.340 0.160 0.500
0.660 0.840 0.500
0.840 0.340 0.500
```

Summary:
Uncorrected energy: -5.05 eV/atom
Space group: P4/mbm
Formation energy from the elements: 0.340 eV per atom
Distance to the lowest polymorph of the same formula: 1.018 eV/f.u.


Record 5
Computed, not measured: a geometry-optimized MgPd2Ru2 structure at the GGA-PBE level of DFT.

Cell and atoms, written as POSCAR:
```
MgPd2Ru2
1.0
7.654 0.000 0.000
0.000 7.654 0.000
0.000 0.000 2.773
Mg Pd Ru
2 4 4
Direct
0.000 0.000 0.000
0.500 0.500 0.000
0.123 0.377 0.000
0.377 0.877 0.000
0.623 0.123 0.000
0.877 0.623 0.000
0.175 0.675 0.500
0.325 0.175 0.500
0.675 0.825 0.500
0.825 0.325 0.500
```

Summary:
Uncorrected energy: -5.82 eV/atom
Space group: P4/mbm
Formation energy from the elements: 0.289 eV per atom
Distance to the lowest polymorph of the same formula: 0.567 eV/f.u.


Record 6
Computed, not measured: a geometry-optimized Mg3PdRu structure at the GGA-PBE level of DFT.

Cell and atoms, written as POSCAR:
```
Mg3PdRu
1.0
4.815 0.000 0.000
0.000 4.815 0.000
0.000 0.000 4.815
Mg Pd Ru
3 1 1
Direct
0.000 0.000 0.500
0.000 0.500 0.000
0.500 0.000 0.000
0.500 0.500 0.500
0.000 0.000 0.000
```

Summary:
Uncorrected energy: -3.36 eV/atom
Space group: Pm-3m
Formation energy from the elements: 0.487 eV per atom
Distance to the lowest polymorph of the same formula: 0.000 eV/f.u.